Material: CeTlNiF6
Method: DFT, GGA+U
State: optimized geometry

```
CeTlNiF6
1.0
-3.0010 -2.4476 -4.4953
5.9318 0.0950 -0.0960
0.2466 -10.0364 5.2999
Ce F Tl Ni
2 12 2 2
direct
0.6667 0.3333 0.7500 Ce
0.3333 0.6667 0.2500 Ce
0.3591 0.3929 0.8496 F
0.3591 0.9661 0.6504 F
0.9661 0.3591 0.1504 F
0.3929 0.3591 0.3496 F
0.3929 0.0339 0.1504 F
0.6409 0.0339 0.3496 F
0.0339 0.3929 0.6504 F
0.6071 0.6409 0.6504 F
0.6409 0.6071 0.1504 F
0.6071 0.9661 0.8496 F
0.9661 0.6071 0.3496 F
0.0339 0.6409 0.8496 F
0.0000 0.0000 0.0000 Tl
0.0000 0.0000 0.5000 Tl
0.3333 0.6667 0.7500 Ni
0.6667 0.3333 0.2500 Ni
```

## Properties
Density of states at the Fermi level, states/eV/cell: 2.4
Final energy, eV per atom: -5.31